A plane-wave DFT calculation with PBE was carried out for a relaxed Mg2SbCl crystal.

Cell and atoms, written as POSCAR:
```
Mg2SbCl
1.0
-2.2200 2.8736 3.6395
2.2200 -2.8736 3.6395
2.2200 2.8736 -3.6395
Mg Sb Cl
2 1 1
Direct
0.2279 0.2279 0.0000 Mg
0.7721 0.7721 0.0000 Mg
0.5000 0.0000 0.5000 Sb
0.0000 0.5000 0.5000 Cl
```

Results
Raw total energy   -2.850 eV/atom
Space group   Immm
Formation energy from raw total energies   -561 meV per atom
Spin magnetization   0.00 μB per formula unit
Polymorph energy (0 for the lowest one)   180.5 meV per atom